Below is a geometry-optimized PmHfAl structure, with properties calculated at the PBE-GGA level.

Geometry as POSCAR:
```
PmHfAl
1.0
-2.503 1.976 0.073
-1.010 -1.378 2.693
5.458 4.253 2.334
Al Pm Hf
1 1 1
Direct
0.677 0.677 0.354
0.010 0.010 0.019
0.313 0.313 0.627
```

Summary:
For the magnetization, the calculation gives 0.00 μB/cell. The polymorph energy (0 for the lowest one) is 0.00 eV/f.u.